i:
VASP calculation (PBE) on an optimized crystal structure of PuRuRh.

Computed properties:
- Space group: No. 74
- Crystal system: orthorhombic

```
data_PuRuRh
_chemical_formula_sum 'Pu2 Ru2 Rh2'
_symmetry_space_group_name_H-M 'P 1'
_symmetry_Int_Tables_number 1
_cell_length_a 5.341
_cell_length_b 5.341
_cell_length_c 5.341
_cell_angle_alpha 121.45
_cell_angle_beta 119.74
_cell_angle_gamma 88.98
loop_
_symmetry_equiv_pos_as_xyz
'x,y,z'
loop_
_atom_site_label
_atom_site_type_symbol
_atom_site_fract_x
_atom_site_fract_y
_atom_site_fract_z
_atom_site_occupancy
Pu1 Pu 0.375 0.125 0.250 1
Pu2 Pu 0.625 0.875 0.750 1
Ru1 Ru 0.000 0.000 0.500 1
Ru2 Ru 0.000 0.500 0.000 1
Rh1 Rh 0.000 0.500 0.500 1
Rh2 Rh 0.500 0.500 0.000 1
```

=====

ii:
VASP calculation (PBE) on an optimized crystal structure of PuRuRh.

Computed properties:
- Space group: No. 2
- Crystal system: triclinic

```
data_PuRuRh
_chemical_formula_sum 'Pu2 Ru2 Rh2'
_symmetry_space_group_name_H-M 'P 1'
_symmetry_Int_Tables_number 1
_cell_length_a 3.462
_cell_length_b 3.466
_cell_length_c 9.043
_cell_angle_alpha 96.67
_cell_angle_beta 98.66
_cell_angle_gamma 92.13
loop_
_symmetry_equiv_pos_as_xyz
'x,y,z'
loop_
_atom_site_label
_atom_site_type_symbol
_atom_site_fract_x
_atom_site_fract_y
_atom_site_fract_z
_atom_site_occupancy
Pu1 Pu 0.229 0.243 0.248 1
Pu2 Pu 0.771 0.757 0.752 1
Ru1 Ru 0.228 0.226 0.914 1
Ru2 Ru 0.772 0.774 0.086 1
Rh1 Rh 0.281 0.272 0.587 1
Rh2 Rh 0.719 0.728 0.413 1
```

=====

Looking at the structures above, which would you pick as the most stable? I would pick i.